1.
Here is crystalline KIn2Sn2 at its relaxed geometry from Alexandria via LeMat-Bulk. Energies are from GGA-PBEsol.

POSCAR file:
```
KIn2Sn2
1.0
3.5189 0.0000 0.0000
0.0000 9.0053 0.0000
0.0000 0.0000 9.0053
K In Sn
2 4 4
Direct
0.0000 0.0000 0.0000 K
0.0000 0.5000 0.5000 K
0.5000 0.3485 0.1515 In
0.5000 0.8485 0.3485 In
0.5000 0.6515 0.8485 In
0.5000 0.1515 0.6515 In
0.0000 0.6366 0.1366 Sn
0.0000 0.1366 0.3634 Sn
0.0000 0.8634 0.6366 Sn
0.0000 0.3634 0.8634 Sn
```

Space group ... P4/mbm, No. 127
Calculated formation energy ... -78 meV per atom
Density of states at the Fermi level ... 5.3 states/eV/cell
Energy above the most stable polymorph in this dataset ... 0.081 eV per atom
E ... -0.11767 Ha/atom

=====

2.
Here is crystalline Mg2PbCl at its relaxed geometry from Alexandria via LeMat-Bulk. Energies are from GGA-PBEsol.

POSCAR file:
```
Mg2PbCl
1.0
3.3917 0.0000 0.0000
0.0000 5.5351 0.0000
-1.6958 -2.7676 5.1054
Mg Pb Cl
2 1 1
Direct
0.7305 0.2305 0.4609 Mg
0.9749 0.9749 0.9498 Mg
0.5010 0.5010 0.0020 Pb
0.2936 0.7936 0.5873 Cl
```

Space group ... Imm2, No. 44
Density of states at the Fermi level ... 1.7 states/eV/cell
Uncorrected formation energy ... -0.415 eV per atom
Energy above the most stable polymorph in this dataset ... 0.144 eV per atom
E ... -0.10197 Ha/atom

=====

Values for total moment, μB per cell, ordered as above
0.000 0.000